(1)
{"formula": "BaAc4In5", "functional": "GGA-PBE", "state": "relaxed", "delta_e_f_ev_per_fu": -4.1, "space_group": "No. 123", "dos_ef_per_ev_atom": 0.9152, "lattice_angstrom": [[-3.0847, 1.5562, -2.2608], [0.3748, -3.1303, -2.6662], [-13.7381, -11.1019, 11.1028]], "species": ["Ba", "Ac", "Ac", "Ac", "Ac", "In", "In", "In", "In", "In"], "fractional_positions": [[0.0000, 0.0000, 0.0000], [0.0000, 0.0000, 0.2059], [0.0000, 0.0000, 0.4025], [0.0000, 0.0000, 0.5975], [0.0000, 0.0000, 0.7941], [0.5000, 0.5000, 0.1115], [0.5000, 0.5000, 0.3050], [0.5000, 0.5000, 0.5000], [0.5000, 0.5000, 0.6950], [0.5000, 0.5000, 0.8885]]}

---

(2)
{"formula": "Ba2AcIn", "functional": "GGA-PBE", "state": "relaxed", "de_polymorph_mev_per_atom": 9.3, "delta_e_f_ev_per_fu": -0.4, "space_group": "No. 123", "dos_ef_per_ev_atom": 0.9115, "lattice_angstrom": [[5.8018, 0.0000, 0.0000], [0.0000, 5.4041, 0.0000], [0.0000, 0.0000, 5.4041]], "species": ["Ac", "Ba", "Ba", "In"], "fractional_positions": [[0.5000, 0.5000, 0.5000], [0.0000, 0.0000, 0.5000], [0.0000, 0.5000, 0.0000], [0.5000, 0.0000, 0.0000]]}

---

(3)
{"formula": "Ba2AcIn", "functional": "GGA-PBE", "state": "relaxed", "de_polymorph_mev_per_atom": 191.4, "delta_e_f_ev_per_fu": 0.3, "space_group": "No. 166", "dos_ef_per_ev_atom": 1.3404, "lattice_angstrom": [[-3.3364, -1.0172, 2.1025], [-0.3968, -3.7690, 1.4914], [4.7244, 2.2630, 12.5362]], "species": ["Ac", "Ba", "Ba", "In"], "fractional_positions": [[0.0000, 0.0000, 0.0000], [0.0996, 0.0996, 0.7011], [0.9004, 0.9004, 0.2989], [0.5000, 0.5000, 0.5000]]}

---

(4)
{"formula": "Ba2AcIn3", "functional": "GGA-PBE", "state": "relaxed", "delta_e_f_ev_per_fu": -2.4, "space_group": "No. 65", "dos_ef_per_ev_atom": 0.7009, "lattice_angstrom": [[5.9950, 0.0000, 0.0243], [2.9975, 9.0499, 0.0121], [-0.0338, 0.0000, 8.3476]], "species": ["Ba", "Ba", "Ba", "Ba", "Ac", "Ac", "In", "In", "In", "In", "In", "In"], "fractional_positions": [[0.0000, 0.0000, 0.0000], [0.0000, 0.0000, 0.5000], [0.3350, 0.3300, 0.5000], [0.6650, 0.6700, 0.5000], [0.3391, 0.3218, 0.0000], [0.6609, 0.6782, 0.0000], [0.8261, 0.3478, 0.7746], [0.5000, 0.0000, 0.2376], [0.1739, 0.6522, 0.2254], [0.8261, 0.3478, 0.2254], [0.1739, 0.6522, 0.7746], [0.5000, 0.0000, 0.7624]]}

---

(5)
{"formula": "BaAc5In4", "functional": "GGA-PBE", "state": "relaxed", "delta_e_f_ev_per_fu": -3.1, "space_group": "No. 123", "dos_ef_per_ev_atom": 0.9562, "lattice_angstrom": [[4.0897, 0.0000, 0.0000], [0.0000, 4.0897, 0.0000], [0.0000, 0.0000, 22.9526]], "species": ["Ba", "Ac", "Ac", "Ac", "Ac", "Ac", "In", "In", "In", "In"], "fractional_positions": [[0.0000, 0.0000, 0.0000], [0.5000, 0.5000, 0.1416], [0.5000, 0.5000, 0.3194], [0.5000, 0.5000, 0.5000], [0.5000, 0.5000, 0.6806], [0.5000, 0.5000, 0.8584], [0.0000, 0.0000, 0.2279], [0.0000, 0.0000, 0.4098], [0.0000, 0.0000, 0.5902], [0.0000, 0.0000, 0.7721]]}

---

(6)
{"formula": "Ba3AcIn4", "functional": "GGA-PBE", "state": "relaxed", "delta_e_f_ev_per_fu": -3.2, "space_group": "No. 123", "dos_ef_per_ev_atom": 0.8442, "lattice_angstrom": [[4.2324, 0.0000, 0.0000], [0.0000, 4.2324, 0.0000], [0.0000, 0.0000, 17.0002]], "species": ["Ac", "Ba", "Ba", "Ba", "In", "In", "In", "In"], "fractional_positions": [[0.5000, 0.5000, 0.0000], [0.5000, 0.5000, 0.2458], [0.5000, 0.5000, 0.5000], [0.5000, 0.5000, 0.7542], [0.0000, 0.0000, 0.8882], [0.0000, 0.0000, 0.1118], [0.0000, 0.0000, 0.3763], [0.0000, 0.0000, 0.6237]]}

---

(7)
{"formula": "Ba5Ac4In4", "functional": "GGA-PBE", "state": "relaxed", "delta_e_f_ev_per_fu": -3.4, "space_group": "No. 87", "dos_ef_per_ev_atom": 1.0292, "lattice_angstrom": [[5.5617, 0.0000, 1.4141], [2.7808, 9.9128, 0.7070], [0.3382, 0.0000, 10.3142]], "species": ["Ba", "Ba", "Ba", "Ba", "Ba", "Ac", "Ac", "Ac", "Ac", "In", "In", "In", "In"], "fractional_positions": [[0.6911, 0.9301, 0.6878], [0.3089, 0.0699, 0.3122], [0.0000, 0.0000, 0.0000], [0.6211, 0.6878, 0.0699], [0.3789, 0.3122, 0.9301], [0.8985, 0.5023, 0.7006], [0.5992, 0.2994, 0.5023], [0.1015, 0.4977, 0.2994], [0.4008, 0.7006, 0.4977], [0.7517, 0.3340, 0.1625], [0.2483, 0.6660, 0.8375], [0.9143, 0.8375, 0.3340], [0.0857, 0.1625, 0.6660]]}

---

(8)
{"formula": "Ba2Ac2In3", "functional": "GGA-PBE", "state": "relaxed", "de_polymorph_mev_per_atom": 59.9, "delta_e_f_ev_per_fu": -2.0, "space_group": "No. 2", "dos_ef_per_ev_atom": 1.1721, "lattice_angstrom": [[-2.1205, 4.3534, -3.2160], [-1.3429, -7.8263, -4.4713], [-5.6475, -1.9759, 1.0473]], "species": ["Ba", "Ba", "Ac", "Ac", "In", "In", "In"], "fractional_positions": [[0.8780, 0.7575, 0.6210], [0.1220, 0.2425, 0.3790], [0.6268, 0.2539, 0.8719], [0.3732, 0.7461, 0.1281], [0.0000, 0.0000, 0.0000], [0.7537, 0.5060, 0.2457], [0.2463, 0.4940, 0.7543]]}

---

Number 7 is which compound?
Ba5Ac4In4